# 1
The following is a meta-GGA SCAN calculation of GeBiCl2 at its PBEsol-relaxed geometry, from Alexandria.

a b c (Å): 6.2913 6.3742 6.3742
angles (deg): 75.90 60.43 60.43
Sites, in units of the cell vectors:
Cl: 0.3750 0.0260 0.4740
Cl: 0.5990 0.5260 0.0260
Cl: 0.8750 0.9740 0.5260
Cl: 0.1510 0.4740 0.9740
Bi: 0.7500 0.5000 0.5000
Bi: 0.0000 0.0000 0.0000
Ge: 0.5000 0.0000 0.0000
Ge: 0.2500 0.5000 0.5000

**Formation energy from raw total energies**: -1.566 kcal/mol of atoms
**SG**: No. 122
**Spin magnetization**: 0.000 μB per cell

# 2
The following is a meta-GGA SCAN calculation of HfCdO3 at its PBEsol-relaxed geometry, from Alexandria.

a b c (Å): 5.4766 5.6475 7.9463
angles (deg): 90.00 90.00 90.00
Sites, in units of the cell vectors:
O: 0.1908 0.6945 0.4419
O: 0.3913 0.4531 0.7500
O: 0.6908 0.8055 0.9419
O: 0.3092 0.1945 0.4419
O: 0.8092 0.3055 0.5581
O: 0.1908 0.6945 0.0581
O: 0.6087 0.5469 0.2500
O: 0.6908 0.8055 0.5581
O: 0.1087 0.9531 0.7500
O: 0.3092 0.1945 0.0581
O: 0.8913 0.0469 0.2500
O: 0.8092 0.3055 0.9419
Cd: 0.4895 0.9544 0.2500
Cd: 0.9895 0.5456 0.7500
Cd: 0.0105 0.4544 0.2500
Cd: 0.5105 0.0456 0.7500
Hf: 0.0000 0.0000 0.0000
Hf: 0.0000 0.0000 0.5000
Hf: 0.5000 0.5000 0.5000
Hf: 0.5000 0.5000 0.0000

**Formation energy from raw total energies**: -64.472 kcal/mol of atoms
**SG**: No. 62
**Spin magnetization**: 0.000 μB per cell

# 3
The following is a meta-GGA SCAN calculation of LaAgP at its PBEsol-relaxed geometry, from Alexandria.

a b c (Å): 4.9406 4.9406 6.2099
angles (deg): 90.00 90.00 120.00
Sites, in units of the cell vectors:
P: 0.0000 0.0000 0.2632
P: 0.0000 0.0000 0.7632
La: 0.3333 0.6667 0.0135
La: 0.6667 0.3333 0.5135
Ag: 0.6667 0.3333 0.0137
Ag: 0.3333 0.6667 0.5137

**Formation energy from the elements**: -0.459 eV per atom
**SG**: No. 194
**Spin magnetization**: 0.000 μB per cell

# 4
The following is a meta-GGA SCAN calculation of YFe2Co at its PBEsol-relaxed geometry, from Alexandria.

a b c (Å): 2.8434 2.8434 8.6275
angles (deg): 80.52 80.52 60.00
Sites, in units of the cell vectors:
Co: 0.5000 0.5000 0.5000
Fe: 0.2361 0.2361 0.2917
Fe: 0.7639 0.7639 0.7083
Y: 0.0000 0.0000 0.0000

**Formation energy from the elements**: 0.535 eV per atom
**SG**: No. 166
**Spin magnetization**: 7.404 μB per cell

# 5
The following is a meta-GGA SCAN calculation of LiGe3Bi at its PBEsol-relaxed geometry, from Alexandria.

a b c (Å): 4.6916 4.6916 4.6916
angles (deg): 90.00 90.00 90.00
Sites, in units of the cell vectors:
Bi: 0.5000 0.5000 0.5000
Ge: 0.5000 0.0000 0.0000
Ge: 0.0000 0.0000 0.5000
Ge: 0.0000 0.5000 0.0000
Li: 0.0000 0.0000 0.0000

**Formation energy from the elements**: 0.472 eV per atom
**SG**: No. 221
**Spin magnetization**: 0.000 μB per cell

# 6
The following is a meta-GGA SCAN calculation of Be2Cl at its PBEsol-relaxed geometry, from Alexandria.

a b c (Å): 4.3786 4.3786 5.1213
angles (deg): 115.31 115.31 90.00
Sites, in units of the cell vectors:
Be: 0.6773 0.8227 0.0000
Be: 0.8227 0.3227 0.0000
Be: 0.3227 0.1773 0.0000
Be: 0.1773 0.6773 0.0000
Cl: 0.7500 0.7500 0.5000
Cl: 0.2500 0.2500 0.5000

**Formation energy from raw total energies**: 5.978 kcal/mol of atoms
**ΔE to the lowest computed polymorph**: 614 meV/atom
**SG**: No. 140
**Spin magnetization**: 0.000 μB per cell

# 7
The following is a meta-GGA SCAN calculation of DyMg2 at its PBEsol-relaxed geometry, from Alexandria.

a b c (Å): 5.9680 5.9680 5.9680
angles (deg): 60.00 60.00 60.00
Sites, in units of the cell vectors:
Dy: 0.7500 0.7500 0.7500
Dy: 0.5000 0.5000 0.5000
Mg: 0.1250 0.1250 0.6250
Mg: 0.6250 0.1250 0.1250
Mg: 0.1250 0.6250 0.1250
Mg: 0.1250 0.1250 0.1250

**Formation energy from the elements**: -0.059 eV per atom
**SG**: No. 227
**Spin magnetization**: 0.000 μB per cell

# 8
The following is a meta-GGA SCAN calculation of CuI at its PBEsol-relaxed geometry, from Alexandria.

a b c (Å): 4.1857 4.1857 13.9529
angles (deg): 81.37 81.37 60.00
Sites, in units of the cell vectors:
I: 0.2082 0.2082 0.3753
I: 0.7917 0.7917 0.6248
I: 0.3751 0.3751 0.8748
I: 0.6249 0.6249 0.1254
Cu: 0.8539 0.8539 0.4382
Cu: 0.4375 0.4375 0.6875
Cu: 0.2703 0.2703 0.1890
Cu: 0.6871 0.6871 0.9386

**Formation energy from raw total energies**: -2.580 kcal/mol of atoms
**SG**: No. 160
**Spin magnetization**: 0.000 μB per cell

# 9
The following is a meta-GGA SCAN calculation of MgSb2Cl at its PBEsol-relaxed geometry, from Alexandria.

a b c (Å): 3.3685 3.3685 9.4875
angles (deg): 90.00 90.00 109.44
Sites, in units of the cell vectors:
Mg: 0.5000 0.5000 0.2671
Cl: 0.0000 0.0000 0.4219
Sb: 0.5000 0.5000 0.7813
Sb: 0.0000 0.0000 0.0298

**Formation energy from raw total energies**: -10.414 kcal/mol of atoms
**ΔE to the lowest computed polymorph**: 102 meV/atom
**SG**: No. 35
**Spin magnetization**: 0.000 μB per cell

# 10
The following is a meta-GGA SCAN calculation of La3NbCl3O6 at its PBEsol-relaxed geometry, from Alexandria.

a b c (Å): 5.3480 9.4285 9.4285
angles (deg): 120.00 90.00 90.00
Sites, in units of the cell vectors:
O: 0.4882 0.4814 0.8425
O: 0.9882 0.6390 0.4814
O: 0.9882 0.5186 0.1575
O: 0.4882 0.1575 0.6390
O: 0.9882 0.8425 0.3610
O: 0.0118 0.3610 0.5186
O: 0.4882 0.3610 0.5186
O: 0.5118 0.6390 0.4814
O: 0.5118 0.5186 0.1575
O: 0.0118 0.1575 0.6390
O: 0.0118 0.4814 0.8425
O: 0.5118 0.8425 0.3610
Cl: 0.7500 0.9490 0.7624
Cl: 0.2500 0.1865 0.9490
Cl: 0.7500 0.8135 0.0510
Cl: 0.2500 0.7624 0.8135
Cl: 0.7500 0.2376 0.1865
Cl: 0.2500 0.0510 0.2376
Nb: 0.2500 0.3333 0.6667
Nb: 0.7500 0.6667 0.3333
La: 0.2500 0.9091 0.5955
La: 0.2500 0.4045 0.3137
La: 0.7500 0.3137 0.9091
La: 0.7500 0.0909 0.4045
La: 0.7500 0.5955 0.6863
La: 0.2500 0.6863 0.0909

**Formation energy from raw total energies**: -72.401 kcal/mol of atoms
**SG**: No. 176
**Spin magnetization**: 1.999 μB per cell

# 11
The following is a meta-GGA SCAN calculation of Al3ReAu at its PBEsol-relaxed geometry, from Alexandria.

a b c (Å): 4.6955 4.6955 4.6955
angles (deg): 90.00 90.00 90.00
Sites, in units of the cell vectors:
Al: 0.0000 0.5000 0.0000
Al: 0.5000 0.0000 0.0000
Al: 0.0000 0.0000 0.5000
Re: 0.0000 0.0000 0.0000
Au: 0.5000 0.5000 0.5000

**Formation energy from the elements**: 0.487 eV per atom
**SG**: No. 221
**Spin magnetization**: 0.000 μB per cell

# 12
The following is a meta-GGA SCAN calculation of CuHgAu2 at its PBEsol-relaxed geometry, from Alexandria.

a b c (Å): 3.4516 4.3578 5.1970
angles (deg): 114.79 109.39 90.00
Sites, in units of the cell vectors:
Cu: 0.0000 0.5000 0.0000
Au: 0.7287 0.7287 0.4573
Au: 0.2713 0.2713 0.5427
Hg: 0.5000 0.0000 0.0000

**Formation energy from the elements**: 0.052 eV per atom
**SG**: No. 71
**Spin magnetization**: 0.000 μB per cell

Number 6 is which compound? Be2Cl